A relaxed FeCoO2F crystal. Source: Alexandria via LeMat-Bulk, functional PBE+U.

a b c (Å): 3.794 3.794 3.736
angles (deg): 90.00 90.00 90.00
Sites, in units of the cell vectors:
Fe (0.000, 0.000, 0.000)
Co (0.500, 0.500, 0.500)
O (0.000, 0.500, 0.000)
O (0.500, 0.000, 0.000)
F (0.000, 0.000, 0.500)

Values from the calculation:
theoretical density	5.12	Mg/m³
crystal system	tetragonal
final energy	-5.07	eV/atom
total moment	0.188	μB per atom
DOS(E_F)	0.633	states/eV/atom